(1)
{
  "formula": "YTlSn",
  "functional": "PBE",
  "state": "relaxed",
  "lattice": [[4.287, 0.000, 0.000], [0.000, 4.508, -1.174], [0.000, -0.183, 8.539]],
  "species": ["Y", "Y", "Tl", "Tl", "Sn", "Sn"],
  "frac_coords": [[0.250, 0.090, 0.179], [0.750, 0.910, 0.821], [0.250, 0.741, 0.483], [0.750, 0.259, 0.517], [0.250, 0.433, 0.865], [0.750, 0.567, 0.135]],
  "spacegroup": "Cmcm (63)",
  "vol_a3_per_cell": 164.11,
  "magnetic_moment_mub_per_atom": 0.0000,
  "dos_at_fermi_per_ev_atom": 0.59,
  "formation_energy_ev_per_atom": -0.45
}

(2)
{
  "formula": "YTlSn",
  "functional": "PBE",
  "state": "relaxed",
  "lattice": [[3.616, 0.000, 0.000], [0.000, 5.140, 0.000], [0.000, -2.570, 4.451]],
  "species": ["Y", "Tl", "Sn"],
  "frac_coords": [[0.650, 0.333, 0.667], [0.307, 0.667, 0.333], [0.043, 0.000, 0.000]],
  "spacegroup": "P3m1 (156)",
  "vol_a3_per_cell": 82.72,
  "magnetic_moment_mub_per_atom": 0.0000,
  "dos_at_fermi_per_ev_atom": 0.46,
  "formation_energy_ev_per_atom": -0.30
}

Energy above the most stable polymorph in this dataset / eV per atom: 0.000, 0.153